# 1
# CePuPa2

A relaxed structure of CePuPa2 (GGA-PBE, Alexandria via LeMat-Bulk).

```
data_CePuPa2
_chemical_formula_sum 'Ce1 Pu1 Pa2'
_space_group_name_H-M_alt 'P 1'
_space_group_IT_number 1
_cell_length_a 5.164
_cell_length_b 5.164
_cell_length_c 5.164
_cell_angle_alpha 60.00
_cell_angle_beta 60.00
_cell_angle_gamma 60.00
loop_
_space_group_symop_operation_xyz
'x,y,z'
loop_
_atom_site_label
_atom_site_type_symbol
_atom_site_fract_x
_atom_site_fract_y
_atom_site_fract_z
Pa1 Pa 0.250 0.250 0.250
Pa2 Pa 0.750 0.750 0.750
Ce1 Ce 0.000 0.000 0.000
Pu1 Pu 0.500 0.500 0.500
```

E above lowest polymorph = 0.144 eV/atom
Total DFT energy (no corrections) = -9.6166 eV/atom
Mass density = 14.428 g/cm³
M_tot = 5.10 μB per formula unit

=====

# 2
# CePuPa6

A relaxed structure of CePuPa6 (GGA-PBE, Alexandria via LeMat-Bulk).

```
data_CePuPa6
_chemical_formula_sum 'Ce1 Pu1 Pa6'
_space_group_name_H-M_alt 'P 1'
_space_group_IT_number 1
_cell_length_a 4.672
_cell_length_b 4.672
_cell_length_c 9.149
_cell_angle_alpha 90.00
_cell_angle_beta 90.00
_cell_angle_gamma 90.00
loop_
_space_group_symop_operation_xyz
'x,y,z'
loop_
_atom_site_label
_atom_site_type_symbol
_atom_site_fract_x
_atom_site_fract_y
_atom_site_fract_z
Ce1 Ce 0.000 0.000 0.500
Pu1 Pu 0.000 0.000 0.000
Pa1 Pa 0.500 0.500 0.000
Pa2 Pa 0.500 0.500 0.500
Pa3 Pa 0.500 0.000 0.246
Pa4 Pa 0.500 0.000 0.754
Pa5 Pa 0.000 0.500 0.246
Pa6 Pa 0.000 0.500 0.754
```

E above lowest polymorph = 0.000 eV/atom
Total DFT energy (no corrections) = -9.6285 eV/atom
Mass density = 14.722 g/cm³
M_tot = 3.76 μB per formula unit

=====

# 3
# Ce3PuPa6

A relaxed structure of Ce3PuPa6 (GGA-PBE, Alexandria via LeMat-Bulk).

```
data_Ce3PuPa6
_chemical_formula_sum 'Ce3 Pu1 Pa6'
_space_group_name_H-M_alt 'P 1'
_space_group_IT_number 1
_cell_length_a 5.954
_cell_length_b 5.954
_cell_length_c 8.463
_cell_angle_alpha 90.00
_cell_angle_beta 90.00
_cell_angle_gamma 120.00
loop_
_space_group_symop_operation_xyz
'x,y,z'
loop_
_atom_site_label
_atom_site_type_symbol
_atom_site_fract_x
_atom_site_fract_y
_atom_site_fract_z
Ce1 Ce 0.000 0.000 0.500
Ce2 Ce 0.667 0.333 0.500
Ce3 Ce 0.333 0.667 0.500
Pu1 Pu 0.000 0.000 0.000
Pa1 Pa 0.656 0.656 0.828
Pa2 Pa 0.000 0.344 0.828
Pa3 Pa 0.344 0.000 0.828
Pa4 Pa 0.000 0.656 0.172
Pa5 Pa 0.344 0.344 0.172
Pa6 Pa 0.656 0.000 0.172
```

Total DFT energy (no corrections) = -8.8382 eV/atom
Mass density = 13.108 g/cm³
M_tot = 0.00 μB per formula unit

=====

# 4
# CePuPa3

A relaxed structure of CePuPa3 (GGA-PBE, Alexandria via LeMat-Bulk).

```
data_CePuPa3
_chemical_formula_sum 'Ce4 Pu4 Pa12'
_space_group_name_H-M_alt 'P 1'
_space_group_IT_number 1
_cell_length_a 4.150
_cell_length_b 8.167
_cell_length_c 14.467
_cell_angle_alpha 90.00
_cell_angle_beta 90.00
_cell_angle_gamma 90.00
loop_
_space_group_symop_operation_xyz
'x,y,z'
loop_
_atom_site_label
_atom_site_type_symbol
_atom_site_fract_x
_atom_site_fract_y
_atom_site_fract_z
Ce1 Ce 0.750 0.496 0.629
Ce2 Ce 0.250 0.004 0.129
Ce3 Ce 0.250 0.504 0.371
Ce4 Ce 0.750 0.996 0.871
Pu1 Pu 0.250 0.888 0.551
Pu2 Pu 0.750 0.612 0.051
Pu3 Pu 0.750 0.112 0.449
Pu4 Pu 0.250 0.388 0.949
Pa1 Pa 0.250 0.786 0.722
Pa2 Pa 0.750 0.714 0.222
Pa3 Pa 0.750 0.214 0.278
Pa4 Pa 0.250 0.286 0.778
Pa5 Pa 0.750 0.071 0.666
Pa6 Pa 0.250 0.429 0.166
Pa7 Pa 0.250 0.929 0.334
Pa8 Pa 0.750 0.571 0.834
Pa9 Pa 0.750 0.728 0.478
Pa10 Pa 0.250 0.772 0.978
Pa11 Pa 0.250 0.272 0.522
Pa12 Pa 0.750 0.228 0.022
```

Total DFT energy (no corrections) = -9.5301 eV/atom
Mass density = 14.592 g/cm³
M_tot = 2.70 μB per formula unit

=====

# 5
# Ce2PuPa6

A relaxed structure of Ce2PuPa6 (GGA-PBE, Alexandria via LeMat-Bulk).

```
data_Ce2PuPa6
_chemical_formula_sum 'Ce2 Pu1 Pa6'
_space_group_name_H-M_alt 'P 1'
_space_group_IT_number 1
_cell_length_a 3.226
_cell_length_b 8.875
_cell_length_c 8.877
_cell_angle_alpha 120.01
_cell_angle_beta 90.02
_cell_angle_gamma 89.99
loop_
_space_group_symop_operation_xyz
'x,y,z'
loop_
_atom_site_label
_atom_site_type_symbol
_atom_site_fract_x
_atom_site_fract_y
_atom_site_fract_z
Ce1 Ce 0.500 0.667 0.333
Ce2 Ce 0.500 0.333 0.667
Pu1 Pu 0.000 0.000 0.000
Pa1 Pa 0.257 0.000 0.331
Pa2 Pa 0.257 0.669 0.669
Pa3 Pa 0.743 0.000 0.669
Pa4 Pa 0.743 0.669 0.000
Pa5 Pa 0.743 0.331 0.331
Pa6 Pa 0.257 0.331 0.000
```

E above lowest polymorph = 0.072 eV/atom
Total DFT energy (no corrections) = -9.0689 eV/atom
Mass density = 14.414 g/cm³
M_tot = 4.89 μB per formula unit

=====

# 6
# CePu2Pa5

A relaxed structure of CePu2Pa5 (GGA-PBE, Alexandria via LeMat-Bulk).

```
data_CePu2Pa5
_chemical_formula_sum 'Ce2 Pu4 Pa10'
_space_group_name_H-M_alt 'P 1'
_space_group_IT_number 1
_cell_length_a 4.496
_cell_length_b 6.625
_cell_length_c 13.258
_cell_angle_alpha 90.00
_cell_angle_beta 90.00
_cell_angle_gamma 90.00
loop_
_space_group_symop_operation_xyz
'x,y,z'
loop_
_atom_site_label
_atom_site_type_symbol
_atom_site_fract_x
_atom_site_fract_y
_atom_site_fract_z
Ce1 Ce 0.000 0.000 0.500
Ce2 Ce 0.000 0.500 0.000
Pu1 Pu 0.500 0.252 0.626
Pu2 Pu 0.500 0.748 0.374
Pu3 Pu 0.500 0.248 0.126
Pu4 Pu 0.500 0.752 0.874
Pa1 Pa 0.000 0.000 0.000
Pa2 Pa 0.000 0.500 0.500
Pa3 Pa 0.000 0.501 0.749
Pa4 Pa 0.000 0.499 0.251
Pa5 Pa 0.000 0.999 0.249
Pa6 Pa 0.000 0.001 0.751
Pa7 Pa 0.500 0.249 0.875
Pa8 Pa 0.500 0.751 0.125
Pa9 Pa 0.500 0.251 0.375
Pa10 Pa 0.500 0.749 0.625
```

Total DFT energy (no corrections) = -10.2207 eV/atom
Mass density = 14.997 g/cm³
M_tot = 8.81 μB per formula unit

=====

# 7
# Ce2PuPa

A relaxed structure of Ce2PuPa (GGA-PBE, Alexandria via LeMat-Bulk).

```
data_Ce2PuPa
_chemical_formula_sum 'Ce2 Pu1 Pa1'
_space_group_name_H-M_alt 'P 1'
_space_group_IT_number 1
_cell_length_a 4.025
_cell_length_b 4.025
_cell_length_c 7.953
_cell_angle_alpha 75.34
_cell_angle_beta 75.34
_cell_angle_gamma 60.00
loop_
_space_group_symop_operation_xyz
'x,y,z'
loop_
_atom_site_label
_atom_site_type_symbol
_atom_site_fract_x
_atom_site_fract_y
_atom_site_fract_z
Ce1 Ce 0.069 0.069 0.794
Ce2 Ce 0.240 0.240 0.279
Pu1 Pu 0.680 0.680 0.959
Pa1 Pa 0.511 0.511 0.468
```

E above lowest polymorph = 0.387 eV/atom
Total DFT energy (no corrections) = -8.4824 eV/atom
Mass density = 11.751 g/cm³
M_tot = 5.30 μB per formula unit

=====

# 8
# CePu2Pa

A relaxed structure of CePu2Pa (GGA-PBE, Alexandria via LeMat-Bulk).

```
data_CePu2Pa
_chemical_formula_sum 'Ce1 Pu2 Pa1'
_space_group_name_H-M_alt 'P 1'
_space_group_IT_number 1
_cell_length_a 5.190
_cell_length_b 5.190
_cell_length_c 5.190
_cell_angle_alpha 60.00
_cell_angle_beta 60.00
_cell_angle_gamma 60.00
loop_
_space_group_symop_operation_xyz
'x,y,z'
loop_
_atom_site_label
_atom_site_type_symbol
_atom_site_fract_x
_atom_site_fract_y
_atom_site_fract_z
Pa1 Pa 0.500 0.500 0.500
Ce1 Ce 0.000 0.000 0.000
Pu1 Pu 0.250 0.250 0.250
Pu2 Pu 0.750 0.750 0.750
```

E above lowest polymorph = 0.133 eV/atom
Total DFT energy (no corrections) = -10.7839 eV/atom
Mass density = 14.428 g/cm³
M_tot = 11.77 μB per formula unit